[1]
## BaBr2Cl (GGA-PBE)

Data for a geometry-optimized BaBr2Cl structure.

Results
Energy above the most stable polymorph in this dataset, meV/atom: 0

```
BaBr2Cl
1.0
0.000 3.867 5.494
2.966 0.000 5.494
2.966 3.867 0.000
Ba Br Cl
1 2 1
Direct
0.000 0.000 0.000
0.250 0.250 0.250
0.750 0.750 0.750
0.500 0.500 0.500
```

[2]
## GaBr (GGA-PBE)

Data for a geometry-optimized GaBr structure.

```
GaBr
1.0
4.718 0.000 0.000
-2.356 4.437 0.000
-0.056 -2.658 6.938
Ga Br
2 2
Direct
0.202 0.403 0.000
0.798 0.597 0.000
0.084 0.162 0.270
0.916 0.838 0.730
```

Computed uncorrected energy (eV for the cell shown) in order:
-13.552 -11.693
Computed E_form (uncorrected) (eV per atom) in order:
-1.61 -0.57
Computed calculated volume (A^3/atom) in order:
31.5 36.3